Entry 1:
# PBE Ga2CuSn2, relaxed
data_Ga2CuSn2
_chemical_formula_sum 'Ga2 Cu1 Sn2'
_space_group_name_H-M_alt 'P 1'
_space_group_IT_number 1
_space_group_name_Hall 'P 1'
_cell_length_a 8.085
_cell_length_b 8.085
_cell_length_c 8.085
_cell_angle_alpha 153.32
_cell_angle_beta 153.32
_cell_angle_gamma 38.10
loop_
_atom_site_label
_atom_site_fract_x
_atom_site_fract_y
_atom_site_fract_z
Ga1 0.250 0.750 0.500
Ga2 0.750 0.250 0.500
Cu1 0.000 0.000 0.000
Sn1 0.404 0.404 0.000
Sn2 0.596 0.596 0.000
# SG = I4/mmm

---

Entry 2:
# PBE HfUAg, relaxed
data_HfUAg
_chemical_formula_sum 'Hf1 U1 Ag1'
_space_group_name_H-M_alt 'P 1'
_space_group_IT_number 1
_space_group_name_Hall 'P 1'
_cell_length_a 4.755
_cell_length_b 4.755
_cell_length_c 4.755
_cell_angle_alpha 60.00
_cell_angle_beta 60.00
_cell_angle_gamma 60.00
loop_
_atom_site_label
_atom_site_fract_x
_atom_site_fract_y
_atom_site_fract_z
Hf1 0.000 0.000 0.000
U1 0.750 0.750 0.750
Ag1 0.500 0.500 0.500
# ΔH_f (0 K) = 1.253 eV/atom
# SG = F-43m

---

Entry 3:
# PBE AcNpCo, relaxed
data_AcNpCo
_chemical_formula_sum 'Ac1 Np1 Co1'
_space_group_name_H-M_alt 'P 1'
_space_group_IT_number 1
_space_group_name_Hall 'P 1'
_cell_length_a 4.627
_cell_length_b 4.627
_cell_length_c 4.627
_cell_angle_alpha 60.00
_cell_angle_beta 60.00
_cell_angle_gamma 60.00
loop_
_atom_site_label
_atom_site_fract_x
_atom_site_fract_y
_atom_site_fract_z
Ac1 0.000 0.000 0.000
Np1 0.250 0.250 0.250
Co1 0.750 0.750 0.750
# ΔH_f (0 K) = 1.256 eV/atom
# SG = F-43m

---

Entry 4:
# PBE AcZr3, relaxed
data_AcZr3
_chemical_formula_sum 'Ac2 Zr6'
_space_group_name_H-M_alt 'P 1'
_space_group_IT_number 1
_space_group_name_Hall 'P 1'
_cell_length_a 6.578
_cell_length_b 6.578
_cell_length_c 5.453
_cell_angle_alpha 90.00
_cell_angle_beta 90.00
_cell_angle_gamma 114.62
loop_
_atom_site_label
_atom_site_fract_x
_atom_site_fract_y
_atom_site_fract_z
Ac1 0.114 0.886 0.750
Ac2 0.886 0.114 0.250
Zr1 0.143 0.424 0.750
Zr2 0.389 0.611 0.250
Zr3 0.424 0.143 0.250
Zr4 0.576 0.857 0.750
Zr5 0.611 0.389 0.750
Zr6 0.857 0.576 0.250
# ΔH_f (0 K) = 0.243 eV/atom
# SG = Cmcm

---

Calculated total energy? In order: -16.7; -20.3; -20.2; -28.8 eV per formula unit.